(1)
Compound: CsMg2TlBr8
Source: Alexandria via LeMat-Bulk
Functional: PBE
Structure: optimized geometry

It has space group P-1 (No. 2), with a = 6.9532 Å, b = 6.9671 Å, c = 9.8999 Å, α = 74.44°, β = 74.64° and γ = 73.98°. The distinct sites, in fractional coordinates, are Cs at (0.0000, 0.0000, 0.0000), Mg at (0.4497, 0.4491, 0.2160), Tl at (0.0000, 0.0000, 0.5000), Br at (0.1930, 0.7045, 0.7208), Br at (0.2550, 0.2515, 0.4664), Br at (0.2927, 0.8038, 0.2813) and Br at (0.3390, 0.3306, 0.0323).

As for the uncorrected formation energy: -109 kJ/mol of atoms. The volume comes out at 36.21 Å³ per atom. The energy is -33.35 eV per formula unit.

(2)
Compound: Cs3MgTl2Br9
Source: Alexandria via LeMat-Bulk
Functional: PBE
Structure: optimized geometry

It has space group P-3m1 (No. 164), with a = 8.1110 Å, b = 8.1110 Å, c = 9.9458 Å, α = 90.00°, β = 90.00° and γ = 120.00°. The distinct sites, in fractional coordinates, are Cs at (0.0000, 0.0000, 0.0000), Cs at (0.3333, 0.6667, 0.6570), Mg at (0.0000, 0.0000, 0.5000), Tl at (0.3333, 0.6667, 0.1708), Br at (0.0000, 0.5000, 0.0000) and Br at (0.1586, 0.3171, 0.3441).

As for the uncorrected formation energy: -121 kJ/mol of atoms. The volume comes out at 37.78 Å³ per atom. The energy is -42.76 eV per formula unit.

(3)
Compound: CsMg2TlBr6
Source: Alexandria via LeMat-Bulk
Functional: PBE
Structure: optimized geometry

It has space group C2/c (No. 15), with a = 15.0331 Å, b = 15.4601 Å, c = 7.2181 Å, α = 90.00°, β = 94.97° and γ = 90.00°. The distinct sites, in fractional coordinates, are Cs at (0.0000, 0.1049, 0.2500), Mg at (0.2128, 0.4176, 0.2751), Tl at (0.0000, 0.2971, 0.7500), Br at (0.1223, 0.1025, 0.7172), Br at (0.1269, 0.2931, 0.1428) and Br at (0.1675, 0.4393, 0.6097).

As for the uncorrected formation energy: -134 kJ/mol of atoms. The volume comes out at 41.78 Å³ per atom. The energy is -30.34 eV per formula unit.

(4)
Compound: Cs4MgTl3Br8
Source: Alexandria via LeMat-Bulk
Functional: PBE
Structure: optimized geometry

It has space group C2/m (No. 12), with a = 17.0912 Å, b = 9.9139 Å, c = 9.8824 Å, α = 90.00°, β = 125.01° and γ = 90.00°. The distinct sites, in fractional coordinates, are Cs at (0.0000, 0.0000, 0.0000), Cs at (0.0000, 0.5000, 0.0000), Cs at (0.2500, 0.2500, 0.5000), Mg at (0.0000, 0.0000, 0.5000), Tl at (0.0000, 0.5000, 0.5000), Tl at (0.2500, 0.2500, 0.0000), Br at (0.0070, 0.2405, 0.7335), Br at (0.2347, 0.0000, 0.7487) and Br at (0.2424, 0.5000, 0.7577).

As for the uncorrected formation energy: -120 kJ/mol of atoms. The volume comes out at 42.86 Å³ per atom. The energy is -45.42 eV per formula unit.

(5)
Compound: Cs3Mg2TlBr9
Source: Alexandria via LeMat-Bulk
Functional: PBE
Structure: optimized geometry

It has space group P-3m1 (No. 164), with a = 7.9107 Å, b = 7.9107 Å, c = 9.7257 Å, α = 90.00°, β = 90.00° and γ = 120.00°. The distinct sites, in fractional coordinates, are Cs at (0.0000, 0.0000, 0.0000), Cs at (0.3333, 0.6667, 0.6659), Mg at (0.3333, 0.6667, 0.1542), Tl at (0.0000, 0.0000, 0.5000), Br at (0.0000, 0.5000, 0.0000) and Br at (0.1763, 0.3526, 0.3226).

As for the uncorrected formation energy: -136 kJ/mol of atoms. The volume comes out at 35.14 Å³ per atom. The energy is -44.35 eV per formula unit.

(6)
Compound: CsTmMgBr6
Source: Alexandria via LeMat-Bulk
Functional: PBE
Structure: optimized geometry

It has space group P312 (No. 149), with a = 7.1301 Å, b = 7.1301 Å, c = 8.2391 Å, α = 90.00°, β = 90.00° and γ = 120.00°. The distinct sites, in fractional coordinates, are Cs at (0.0000, 0.0000, 0.0000), Tm at (0.6667, 0.3333, 0.5000), Mg at (0.3333, 0.6667, 0.5000) and Br at (0.0071, 0.3786, 0.6923).

As for the uncorrected formation energy: -169 kJ/mol of atoms. The volume comes out at 40.31 Å³ per atom. The energy is -32.70 eV per formula unit.

(7)
Compound: CsMgUBr6
Source: Alexandria via LeMat-Bulk
Functional: PBE
Structure: optimized geometry

It has space group P-31c (No. 163), with a = 7.3746 Å, b = 7.3746 Å, c = 16.1187 Å, α = 90.00°, β = 90.00° and γ = 120.00°. The distinct sites, in fractional coordinates, are Cs at (0.0000, 0.0000, 0.0000), Mg at (0.3333, 0.6667, 0.2500), U at (0.3333, 0.6667, 0.7500) and Br at (0.0207, 0.3865, 0.1503).

As for the uncorrected formation energy: -142 kJ/mol of atoms. The volume comes out at 42.18 Å³ per atom. The energy is -37.04 eV per formula unit.

(8)
Compound: CsMgVBr6
Source: Alexandria via LeMat-Bulk
Functional: PBE
Structure: optimized geometry

It has space group P312 (No. 149), with a = 6.8550 Å, b = 6.8550 Å, c = 8.2327 Å, α = 90.00°, β = 90.00° and γ = 120.00°. The distinct sites, in fractional coordinates, are Cs at (0.0000, 0.0000, 0.0000), Mg at (0.6667, 0.3333, 0.5000), V at (0.3333, 0.6667, 0.5000) and Br at (0.0139, 0.3796, 0.6813).

As for the uncorrected formation energy: -123 kJ/mol of atoms. The volume comes out at 37.23 Å³ per atom. The energy is -33.08 eV per formula unit.

(9)
Compound: Cs2MgVBr6
Source: Alexandria via LeMat-Bulk
Functional: PBE
Structure: optimized geometry

It has space group R-3m (No. 166, hexagonal axes), with a = 7.7248 Å, b = 7.7248 Å, c = 38.2596 Å, α = 90.00°, β = 90.00° and γ = 120.00°. The distinct sites, in fractional coordinates, are Cs at (0.0000, 0.0000, 0.1231), Cs at (0.0000, 0.0000, 0.2923), Mg at (0.0000, 0.0000, 0.0000), Mg at (0.0000, 0.0000, 0.5000), V at (0.0000, 0.0000, 0.4140), Br at (0.0003, 0.5001, 0.2924) and Br at (0.0201, 0.5100, 0.1228).

As for the uncorrected formation energy: -136 kJ/mol of atoms. The volume comes out at 32.95 Å³ per atom. The energy is -36.56 eV per formula unit. The value obtained for the offset from the most stable computed form is 0.0 kJ/mol of atoms.

(10)
Compound: Cs2MgVBr6
Source: Alexandria via LeMat-Bulk
Functional: PBE
Structure: optimized geometry

It has space group Fm-3m (No. 225), with a = 10.8213 Å, b = 10.8213 Å, c = 10.8213 Å, α = 90.00°, β = 90.00° and γ = 90.00°. The distinct sites, in fractional coordinates, are Cs at (0.2500, 0.2500, 0.2500), Mg at (0.0000, 0.0000, 0.0000), V at (0.0000, 0.0000, 0.5000) and Br at (0.0000, 0.0000, 0.2519).

As for the uncorrected formation energy: -132 kJ/mol of atoms. The volume comes out at 31.68 Å³ per atom. The energy is -36.16 eV per formula unit. The value obtained for the offset from the most stable computed form is 3.9 kJ/mol of atoms.

(11)
Compound: CsYMgBr6
Source: Alexandria via LeMat-Bulk
Functional: PBE
Structure: optimized geometry

It has space group P312 (No. 149), with a = 7.1963 Å, b = 7.1963 Å, c = 8.1712 Å, α = 90.00°, β = 90.00° and γ = 120.00°. The distinct sites, in fractional coordinates, are Cs at (0.0000, 0.0000, 0.0000), Y at (0.6667, 0.3333, 0.5000), Mg at (0.3333, 0.6667, 0.5000) and Br at (0.0107, 0.3816, 0.6954).

As for the uncorrected formation energy: -169 kJ/mol of atoms. The volume comes out at 40.72 Å³ per atom. The energy is -34.74 eV per formula unit.

(12)
Compound: Cs2YMgBr6
Source: Alexandria via LeMat-Bulk
Functional: PBE
Structure: optimized geometry

It has space group Fm-3m (No. 225), with a = 11.5601 Å, b = 11.5601 Å, c = 11.5601 Å, α = 90.00°, β = 90.00° and γ = 90.00°. The distinct sites, in fractional coordinates, are Cs at (0.2500, 0.2500, 0.2500), Y at (0.0000, 0.0000, 0.0000), Mg at (0.0000, 0.0000, 0.5000) and Br at (0.0000, 0.0000, 0.2446).

As for the uncorrected formation energy: -155 kJ/mol of atoms. The volume comes out at 38.62 Å³ per atom. The energy is -35.82 eV per formula unit.

(13)
Compound: CsMgZnBr5
Source: Alexandria via LeMat-Bulk
Functional: PBE
Structure: optimized geometry

It has space group C2/c (No. 15), with a = 9.6330 Å, b = 12.6201 Å, c = 9.8554 Å, α = 90.00°, β = 112.78° and γ = 90.00°. The distinct sites, in fractional coordinates, are Cs at (0.0000, 0.1517, 0.2500), Mg at (0.0000, 0.5000, 0.0000), Zn at (0.0000, 0.1944, 0.7500), Br at (0.0000, 0.4352, 0.2500), Br at (0.1033, 0.3031, 0.6043) and Br at (0.1950, 0.0831, 0.9306).

As for the uncorrected formation energy: -127 kJ/mol of atoms. The volume comes out at 34.52 Å³ per atom. The energy is -22.62 eV per formula unit.

(14)
Compound: CsMnBr3
Source: Alexandria via LeMat-Bulk
Functional: PBE
Structure: optimized geometry

It has space group P2_1/c (No. 14), with a = 10.7144 Å, b = 9.4162 Å, c = 9.3661 Å, α = 90.00°, β = 115.91° and γ = 90.00°. The distinct sites, in fractional coordinates, are Cs at (0.1196, 0.2503, 0.0596), Mn at (0.3293, 0.6190, 0.4142), Br at (0.0699, 0.5394, 0.2852), Br at (0.2918, 0.7487, 0.1449) and Br at (0.3992, 0.1552, 0.9496).

As for the uncorrected formation energy: -112 kJ/mol of atoms. The volume comes out at 42.50 Å³ per atom. The energy is -20.86 eV per formula unit.

(15)
Compound: CsMnBr4
Source: Alexandria via LeMat-Bulk
Functional: PBE
Structure: optimized geometry

It has space group P4/mmm (No. 123), with a = 5.1589 Å, b = 5.1589 Å, c = 8.2725 Å, α = 90.00°, β = 90.00° and γ = 90.00°. The distinct sites, in fractional coordinates, are Cs at (0.0000, 0.0000, 0.0000), Mn at (0.5000, 0.5000, 0.5000), Br at (0.0000, 0.5000, 0.5000) and Br at (0.5000, 0.5000, 0.2001).

As for the uncorrected formation energy: -97 kJ/mol of atoms. The volume comes out at 36.69 Å³ per atom. The energy is -22.72 eV per formula unit. The value obtained for the offset from the most stable computed form is 3.5 kJ/mol of atoms.

(16)
Compound: Cs2MnBr4
Source: Alexandria via LeMat-Bulk
Functional: PBE
Structure: optimized geometry

It has space group Pnma (No. 62), with a = 10.4209 Å, b = 7.9079 Å, c = 14.3331 Å, α = 90.00°, β = 90.00° and γ = 90.00°. The distinct sites, in fractional coordinates, are Cs at (0.0205, 0.2500, 0.1735), Cs at (0.1302, 0.7500, 0.4201), Mn at (0.2296, 0.7500, 0.0750), Br at (0.0084, 0.2500, 0.9107), Br at (0.1731, 0.5034, 0.6500) and Br at (0.1883, 0.2500, 0.4100).

As for the uncorrected formation energy: -137 kJ/mol of atoms. The volume comes out at 42.18 Å³ per atom. The energy is -27.49 eV per formula unit.

(17)
Compound: Cs5MnBr8
Source: Alexandria via LeMat-Bulk
Functional: PBE
Structure: optimized geometry

It has space group I-4 (No. 82), with a = 10.5454 Å, b = 10.5454 Å, c = 12.0023 Å, α = 90.00°, β = 90.00° and γ = 90.00°. The distinct sites, in fractional coordinates, are Cs at (0.0000, 0.0000, 0.0000), Cs at (0.1373, 0.7182, 0.3870), Mn at (0.0000, 0.5000, 0.7500), Br at (0.0416, 0.7169, 0.7012) and Br at (0.1109, 0.6942, 0.0869).

As for the uncorrected formation energy: -137 kJ/mol of atoms. The volume comes out at 47.67 Å³ per atom. The energy is -46.73 eV per formula unit.

(18)
Compound: CsMnBr3
Source: Alexandria via LeMat-Bulk
Functional: PBE
Structure: optimized geometry

It has space group Pnma (No. 62), with a = 9.9952 Å, b = 4.1940 Å, c = 16.4010 Å, α = 90.00°, β = 90.00° and γ = 90.00°. The distinct sites, in fractional coordinates, are Cs at (0.0565, 0.2500, 0.1724), Mn at (0.1549, 0.7500, 0.4494), Br at (0.0229, 0.7500, 0.5928), Br at (0.1894, 0.7500, 0.0028) and Br at (0.2416, 0.2500, 0.8060).

As for the uncorrected formation energy: -115 kJ/mol of atoms. The volume comes out at 34.38 Å³ per atom. The energy is -21.01 eV per formula unit.